No. 1
Computed, not measured: an optimized crystal structure of Pm4BiSbAs2 at the PBE level of DFT.

Results
Its formation energy from raw total energies is -1.276 eV/atom.

The structure in CIF format:
```
data_Pm4BiSbAs2
_chemical_formula_sum 'Pm4 Bi1 Sb1 As2'
_space_group_name_H-M_alt 'P 1 2/m 1'
_space_group_IT_number 10
_space_group_name_Hall '-P 2y'
_cell_length_a 7.5617
_cell_length_b 4.3655
_cell_length_c 7.6516
_cell_angle_alpha 90.00
_cell_angle_beta 109.20
_cell_angle_gamma 90.00
loop_
_atom_site_label
_atom_site_type_symbol
_atom_site_fract_x
_atom_site_fract_y
_atom_site_fract_z
Pm1 Pm 0.2409 0.0000 0.2299
Pm2 Pm 0.2537 0.5000 0.7681
Bi1 Bi 0.5000 0.5000 0.5000
Sb1 Sb 0.0000 0.0000 0.5000
As1 As 0.0000 0.5000 0.0000
As2 As 0.5000 0.0000 0.0000
```

***

No. 2
Computed, not measured: an optimized crystal structure of Pa3Tc2Ge3Rh at the PBE level of DFT.

Results
As for the formation energy: -0.618 eV/atom.

The structure in CIF format:
```
data_Pa3Tc2Ge3Rh
_chemical_formula_sum 'Pa3 Tc2 Ge3 Rh1'
_space_group_name_H-M_alt 'P -6 2 m'
_space_group_IT_number 189
_space_group_name_Hall 'P -6 -2'
_cell_length_a 7.1431
_cell_length_b 7.1431
_cell_length_c 3.9004
_cell_angle_alpha 90.00
_cell_angle_beta 90.00
_cell_angle_gamma 120.00
loop_
_atom_site_label
_atom_site_type_symbol
_atom_site_fract_x
_atom_site_fract_y
_atom_site_fract_z
Pa1 Pa 0.0000 0.4143 0.0000
Tc1 Tc 0.3333 0.6667 0.5000
Ge1 Ge 0.0000 0.7475 0.5000
Rh1 Rh 0.0000 0.0000 0.0000
```

***

No. 3
Computed, not measured: an optimized crystal structure of Na2GaFeSe at the PBE level of DFT.

Results
Its formation energy from raw total energies is 0.415 eV/atom.

The structure in CIF format:
```
data_Na2GaFeSe
_chemical_formula_sum 'Na2 Ga1 Fe1 Se1'
_space_group_name_H-M_alt 'P 4/m m m'
_space_group_IT_number 123
_space_group_name_Hall '-P 4 2'
_cell_length_a 5.2918
_cell_length_b 5.2918
_cell_length_c 4.7222
_cell_angle_alpha 90.00
_cell_angle_beta 90.00
_cell_angle_gamma 90.00
loop_
_atom_site_label
_atom_site_type_symbol
_atom_site_fract_x
_atom_site_fract_y
_atom_site_fract_z
Na1 Na 0.0000 0.5000 0.0000
Ga1 Ga 0.0000 0.0000 0.5000
Fe1 Fe 0.0000 0.0000 0.0000
Se1 Se 0.5000 0.5000 0.5000
```

***

No. 4
Computed, not measured: an optimized crystal structure of ErSCl at the PBE level of DFT.

Results
Its formation energy from raw total energies is -2.187 eV/atom. The energy above the most stable polymorph in this dataset is 0.0011 eV/atom.

The structure in CIF format:
```
data_ErSCl
_chemical_formula_sum 'Er2 S2 Cl2'
_space_group_name_H-M_alt 'P 1 21/m 1'
_space_group_IT_number 11
_space_group_name_Hall '-P 2yb'
_cell_length_a 3.9499
_cell_length_b 5.3324
_cell_length_c 9.2522
_cell_angle_alpha 90.00
_cell_angle_beta 102.07
_cell_angle_gamma 90.00
loop_
_atom_site_label
_atom_site_type_symbol
_atom_site_fract_x
_atom_site_fract_y
_atom_site_fract_z
Er1 Er 0.1877 0.2500 0.3730
S1 S 0.2105 0.7500 0.4192
Cl1 Cl 0.4078 0.7500 0.8219
```

***

Number 1: total energy -5.814 eV/atom. Number 2: total energy -8.442 eV/atom. Number 3: total energy -3.107 eV/atom. Number 4: total energy -5.700 eV/atom.